Compound: Tc2Pt3Rh7
Source: Alexandria via LeMat-Bulk
Functional: PBE-GGA
Structure: relaxed

## Properties
The space group is Cm, No. 8. The value obtained for the total energy is -7.501 eV/atom. The value obtained for the formation energy is 0.025 eV/atom. Its total magnetization is 0.00 μB per formula unit.

Cell lengths 2.740, 4.228, 15.979 Å; angles 74.63, 94.93, 90.00 degrees
Atoms (fractional coordinates):
Tc: 0.355 0.499 0.708
Tc: 0.646 0.417 0.292
Pt: 0.484 0.740 0.969
Pt: 0.818 0.072 0.636
Pt: 0.180 0.849 0.360
Rh: 0.272 0.665 0.543
Rh: 0.728 0.253 0.455
Rh: 0.399 0.910 0.797
Rh: 0.019 0.170 0.039
Rh: 0.597 0.014 0.195
Rh: 0.070 0.568 0.141
Rh: 0.934 0.342 0.866